[1]
## La2AgSn (GGA-PBE)

Data for crystalline La2AgSn at its relaxed geometry.

Computed properties:
Calculated density = 7.20 g/cm3
Symmetry = Imma (74)
Final energy = -0.3446 Ry per atom

a = 7.166 Å, b = 7.707 Å, c = 8.427 Å
α = 90.00°, β = 90.00°, γ = 90.00°
Fractional positions:
Ag  0.752  0.250  0.000
Ag  0.248  0.750  0.000
Ag  0.252  0.750  0.500
Ag  0.748  0.250  0.500
La  0.500  0.000  0.249
La  0.500  0.500  0.249
La  0.000  0.000  0.251
La  0.000  0.500  0.251
La  0.000  0.000  0.749
La  0.000  0.500  0.749
La  0.500  0.000  0.751
La  0.500  0.500  0.751
Sn  0.248  0.250  0.000
Sn  0.752  0.750  0.000
Sn  0.252  0.250  0.500
Sn  0.748  0.750  0.500

[2]
## FeAg2 (GGA-PBE)

Data for crystalline FeAg2 at its relaxed geometry.

Computed properties:
Energy of formation from the pure elements = 65.9 kJ per mole of atoms
Calculated density = 8.41 g/cm3
Symmetry = Fd-3m (227)

a = 5.333 Å, b = 5.333 Å, c = 5.333 Å
α = 60.00°, β = 60.00°, γ = 60.00°
Last column: magnetic moment on the atom in μB.
Fractional positions:
Ag  0.625  0.625  0.125  0.00
Ag  0.625  0.125  0.625  0.00
Ag  0.125  0.625  0.625  -0.01
Ag  0.625  0.625  0.625  0.00
Fe  0.000  0.000  0.000  3.08
Fe  0.250  0.250  0.250  3.08

M_tot, respectively: 0.0825 1.0136 μB per atom.